Record 1
Material: NbSb2HI
Method: DFT, PBE-GGA
State: relaxed

Calculated values
Energy above the most stable polymorph in this dataset = 0.0000 eV/atom
Fermi-level density of states = 2.60 states/eV/f.u.
Total DFT energy (no corrections) = -3.96 eV per atom

Unit cell a=5.343 b=5.343 c=5.850 alpha=90.00 beta=90.00 gamma=90.00
Space group P4/mmm (No. 123)
Inequivalent atoms, fractional coordinates:
Nb: 0.000 0.000 0.000
Sb: 0.000 0.500 0.000
H: 0.500 0.500 0.500
I: 0.000 0.000 0.500

---

Record 2
Material: CrIrRh
Method: DFT, PBE-GGA
State: relaxed

Calculated values
Energy above the most stable polymorph in this dataset = 0.0436 eV/atom
Energy of formation = -0.10 eV per atom
Fermi-level density of states = 2.17 states/eV/f.u.
Total DFT energy (no corrections) = -8.71 eV per atom

Unit cell a=2.6867 b=2.6867 c=6.5186 alpha=90.00 beta=90.00 gamma=120.00
Space group P3m1 (No. 156)
Inequivalent atoms, fractional coordinates:
Cr: 0.0000 0.0000 0.0000
Ir: 0.6667 0.3333 0.3138
Rh: 0.3333 0.6667 0.6828

---

Record 3
Material: SiGeSbN2
Method: DFT, PBE-GGA
State: relaxed

Calculated values
Fermi-level density of states = 3.21 states/eV/f.u.
Formation energy without anion corrections = 1.548 eV/atom
Total DFT energy (no corrections) = -4.61 eV per atom

Unit cell a=4.010 b=4.010 c=5.615 alpha=90.00 beta=90.00 gamma=90.00
Space group P4/mmm (No. 123)
Inequivalent atoms, fractional coordinates:
Si: 0.000 0.000 0.000
Ge: 0.500 0.500 0.000
Sb: 0.500 0.500 0.500
N: 0.000 0.500 0.500

---

Record 4
Material: NaCe2PtO5
Method: DFT, PBE-GGA
State: relaxed

Calculated values
Fermi-level density of states = 8.28 states/eV/f.u.
Formation energy without anion corrections = -2.387 eV/atom
Total DFT energy (no corrections) = -7.28 eV per atom

Unit cell a=6.745 b=6.745 c=5.831 alpha=90.00 beta=90.00 gamma=90.00
Space group P4/mbm (No. 127)
Inequivalent atoms, fractional coordinates:
Na: 0.000 0.000 0.000
Ce: 0.178 0.322 0.500
Pt: 0.000 0.500 0.000
O: 0.000 0.000 0.500
O: 0.138 0.638 0.260